# NiAgHg2F6, optimized geometry, DFT GGA+U
data_NiAgHg2F6
_cell_length_a 5.744
_cell_length_b 5.971
_cell_length_c 8.885
_cell_angle_alpha 90.00
_cell_angle_beta 93.36
_cell_angle_gamma 90.00
_symmetry_space_group_name_H-M 'P 1'
_symmetry_Int_Tables_number 1
_symmetry_space_group_name_Hall 'P 1'
loop_
_atom_site_label
_atom_site_type_symbol
_atom_site_fract_x
_atom_site_fract_y
_atom_site_fract_z
_atom_site_occupancy
F1 F 0.859 0.433 0.703 1
F2 F 0.723 0.688 0.426 1
F3 F 0.335 0.275 0.912 1
F4 F 0.665 0.725 0.088 1
F5 F 0.835 0.225 0.412 1
F6 F 0.141 0.567 0.297 1
F7 F 0.277 0.312 0.574 1
F8 F 0.165 0.775 0.588 1
F9 F 0.641 0.933 0.797 1
F10 F 0.223 0.812 0.926 1
F11 F 0.777 0.188 0.074 1
F12 F 0.359 0.067 0.203 1
Ag1 Ag 0.500 0.000 0.500 1
Ag2 Ag 0.000 0.500 0.000 1
Hg1 Hg 0.523 0.433 0.248 1
Hg2 Hg 0.977 0.933 0.252 1
Hg3 Hg 0.477 0.567 0.752 1
Hg4 Hg 0.023 0.067 0.748 1
Ni1 Ni 0.000 0.500 0.500 1
Ni2 Ni 0.500 0.000 0.000 1
# - Space-group type: P2_1/c, No. 14
# - DOS at the Fermi energy: 0.164 states/eV per atom
# - VASP energy: -63.2 eV for the cell shown